ErMgAgIr: relaxed, GGA-PBE.

a b c (Å): 4.764 4.764 4.764
angles (deg): 60.00 60.00 60.00
Atoms (fractional coordinates):
Mg: 0.500 0.500 0.500
Ir: 0.750 0.750 0.750
Ag: 0.250 0.250 0.250
Er: 0.000 0.000 0.000

## Properties
The formation energy comes out at -45.6 kJ/mol of atoms. As for the total magnetization: 0.0000 μB/atom. Its electronic total energy is -19.8 eV per formula unit.